Material: NaCrTe2
Method: DFT, PBE
State: optimized geometry Values from VASP.

Cell and atoms, written as Quantum ESPRESSO input:
```
&SYSTEM
  ibrav = 0, nat = 8, ntyp = 3
/
ATOMIC_SPECIES
Te 127.60 Te.upf
Cr 52.00 Cr.upf
Na 22.99 Na.upf
CELL_PARAMETERS angstrom
7.4675 0.0000 0.0000
0.0000 7.4675 0.0000
3.7337 3.7337 4.6171
ATOMIC_POSITIONS crystal
Te 0.0651 0.6250 0.2500
Te 0.3750 0.3151 0.7500
Cr 0.0000 0.0000 0.0000
Te 0.6849 0.1250 0.2500
Na 0.5000 0.5000 0.0000
Na 0.2500 0.7500 0.5000
Te 0.8750 0.9349 0.7500
Cr 0.7500 0.2500 0.5000
```

Values from the calculation:
Theoretical density ... 4.3 Mg/m³
ΔE_f (raw) ... -1.2 eV/f.u.